Below is SrTc2O after structural relaxation, with properties calculated at the PBE level.

```
SrTc2O
1.0
6.265 0.000 0.000
0.000 6.265 0.000
0.000 0.000 8.874
Sr Tc O
4 8 4
Direct
0.000 0.000 0.000
0.000 0.500 0.250
0.500 0.000 0.750
0.500 0.500 0.500
0.002 0.750 0.625
0.250 0.002 0.375
0.250 0.498 0.875
0.498 0.750 0.125
0.502 0.250 0.125
0.750 0.502 0.875
0.750 0.998 0.375
0.998 0.250 0.625
0.000 0.000 0.500
0.000 0.500 0.750
0.500 0.000 0.250
0.500 0.500 0.000
```

energy relative to the elements, uncorrected = 117 meV/atom
magnetization = 1.90 μB per formula unit
density of states at the Fermi level = 0.949 states/eV/atom